1.
4
Lattice="-4.135 -9.956 1.801 -0.317 -10.583 2.713 -2.788 -9.065 5.433" Properties=species:S:1:pos:R:3 comment="K2CrAg | Alexandria via LeMat-Bulk | PBE | optimized geometry" de_polymorph_mev_per_atom=297 delta_e_f_mev_per_atom=798 e_tot_ev_per_atom=-2.87 space_group="R-3m, No. 166" magnetic_moment_mub_per_fu=5.08 pbc="T T T"
Cr -5.430 -22.202 7.460
K -3.664 -14.981 5.034
K -7.197 -29.424 9.887
Ag -1.810 -7.401 2.487

=====

2.
4
Lattice="6.212 0.424 0.328 2.547 5.682 -0.328 -3.588 -4.188 2.909" Properties=species:S:1:pos:R:3 comment="KCrAg2 | Alexandria via LeMat-Bulk | PBE | optimized geometry" de_polymorph_mev_per_atom=209 delta_e_f_mev_per_atom=616 e_tot_ev_per_atom=-3.49 space_group="Immm, No. 71" magnetic_moment_mub_per_fu=4.66 pbc="T T T"
Ag 4.691 3.270 0.000
Ag 8.448 5.888 0.000
Cr 3.502 -0.356 1.618
K 1.669 2.273 1.291

=====

3.
4
Lattice="-0.493 3.336 -0.389 -2.826 -0.213 1.754 1.657 1.317 9.182" Properties=species:S:1:pos:R:3 comment="KCr2Ag | Alexandria via LeMat-Bulk | PBE | optimized geometry" de_polymorph_mev_per_atom=354 delta_e_f_mev_per_atom=931 e_tot_ev_per_atom=-4.87 space_group="P2/m, No. 10" magnetic_moment_mub_per_fu=9.38 pbc="T T T"
Cr -0.253 0.666 6.024
Cr 1.326 1.203 8.625
Ag -1.123 2.496 8.007
K -0.539 1.944 2.539

=====

4.
3
Lattice="-3.800 -0.285 -2.793 4.330 -0.097 -1.887 0.068 -4.957 0.412" Properties=species:S:1:pos:R:3 comment="KCrAg | Alexandria via LeMat-Bulk | PBE | optimized geometry" de_polymorph_mev_per_atom=140 delta_e_f_mev_per_atom=727 e_tot_ev_per_atom=-3.80 space_group="P-6m2, No. 187" magnetic_moment_mub_per_fu=4.93 pbc="T T T"
K 1.666 -3.465 -1.914
Cr -1.079 -1.048 -2.422
Ag 0.011 -0.826 0.069

=====

5.
4
Lattice="5.663 0.053 0.000 2.197 5.220 0.000 -3.930 -2.637 3.111" Properties=species:S:1:pos:R:3 comment="KCrAg2 | Alexandria via LeMat-Bulk | PBE | optimized geometry" de_polymorph_mev_per_atom=216 delta_e_f_mev_per_atom=624 e_tot_ev_per_atom=-3.48 space_group="I-4m2, No. 119" magnetic_moment_mub_per_fu=4.78 pbc="T T T"
K 2.832 0.027 1.555
Ag 0.000 0.000 0.000
Ag 1.098 2.610 1.555
Cr 3.930 2.637 0.000

=====

6.
4
Lattice="-2.677 -0.807 1.382 -0.245 -3.293 -2.397 3.934 -4.097 5.228" Properties=species:S:1:pos:R:3 comment="KCrAg2 | Alexandria via LeMat-Bulk | PBE | optimized geometry" de_polymorph_mev_per_atom=115 delta_e_f_mev_per_atom=522 e_tot_ev_per_atom=-3.58 space_group="Pmm2, No. 25" magnetic_moment_mub_per_fu=4.79 pbc="T T T"
Ag 0.256 -0.267 0.340
Ag -0.452 -3.101 0.833
Cr 1.655 -1.723 2.199
K 1.520 -5.155 3.455

=====

7.
4
Lattice="-0.803 -4.976 1.118 3.901 -3.371 -0.279 1.974 -2.027 4.319" Properties=species:S:1:pos:R:3 comment="KCr2Ag | Alexandria via LeMat-Bulk | PBE | optimized geometry" de_polymorph_mev_per_atom=563 delta_e_f_mev_per_atom=1141 e_tot_ev_per_atom=-4.66 space_group="F-43m, No. 216" magnetic_moment_mub_per_fu=9.54 pbc="T T T"
Cr 0.000 0.000 0.000
Cr 1.268 -2.593 1.289
K 3.804 -7.780 3.868
Ag 2.536 -5.187 2.579

=====

8.
4
Lattice="4.637 0.000 0.000 0.000 3.165 -0.003 0.000 0.752 6.990" Properties=species:S:1:pos:R:3 comment="KCrAg2 | Alexandria via LeMat-Bulk | PBE | optimized geometry" de_polymorph_mev_per_atom=83 delta_e_f_mev_per_atom=491 e_tot_ev_per_atom=-3.62 space_group="Pm, No. 6" magnetic_moment_mub_per_fu=4.71 pbc="T T T"
K 2.318 2.814 5.373
Ag 2.318 0.512 2.117
Ag 0.000 0.482 0.352
Cr 0.000 2.068 2.637

=====

9.
5
Lattice="-3.777 0.258 -1.892 -0.873 -3.962 1.202 -1.698 1.463 3.589" Properties=species:S:1:pos:R:3 comment="KCr3Ag | Alexandria via LeMat-Bulk | PBE | optimized geometry" de_polymorph_mev_per_atom=1513 delta_e_f_mev_per_atom=2830 e_tot_ev_per_atom=-3.73 space_group="Pm-3m, No. 221" magnetic_moment_mub_per_fu=0.00 pbc="T T T"
K 0.000 0.000 0.000
Cr -0.437 -1.981 0.601
Cr -0.849 0.732 1.795
Cr -1.888 0.129 -0.946
Ag -3.174 -1.121 1.450

=====

10.
12
Lattice="-6.168 7.088 8.142 -4.258 -4.096 0.340 2.331 -2.124 3.615" Properties=species:S:1:pos:R:3 comment="KCrAg | Alexandria via LeMat-Bulk | PBE | optimized geometry" de_polymorph_mev_per_atom=0 delta_e_f_mev_per_atom=587 e_tot_ev_per_atom=-3.94 space_group="Pnma, No. 62" magnetic_moment_mub_per_fu=4.69 pbc="T T T"
K -3.951 2.708 8.887
K -4.144 -1.839 3.209
K -7.246 1.722 7.250
K -0.849 -0.854 4.846
Cr -8.172 2.932 10.234
Cr 0.077 -2.063 1.862
Cr -4.129 2.503 4.192
Cr -3.966 -1.635 7.904
Ag -1.918 2.482 5.878
Ag -2.129 -2.048 0.170
Ag 0.000 0.000 0.000
Ag -4.048 0.434 6.048

=====

11.
4
Lattice="5.543 0.000 0.000 1.783 5.249 0.000 -3.663 -2.624 3.228" Properties=species:S:1:pos:R:3 comment="KCr2Ag | Alexandria via LeMat-Bulk | PBE | optimized geometry" de_polymorph_mev_per_atom=521 delta_e_f_mev_per_atom=1099 e_tot_ev_per_atom=-4.70 space_group="I4/mmm, No. 139" magnetic_moment_mub_per_fu=9.57 pbc="T T T"
Ag 2.772 0.000 1.614
K 0.892 2.624 1.614
Cr 3.663 2.624 0.000
Cr 0.000 0.000 0.000

=====

12.
4
Lattice="-1.760 5.208 0.196 -4.165 3.411 1.134 1.146 1.425 5.670" Properties=species:S:1:pos:R:3 comment="KCr2Ag | Alexandria via LeMat-Bulk | PBE | optimized geometry" de_polymorph_mev_per_atom=436 delta_e_f_mev_per_atom=1013 e_tot_ev_per_atom=-4.79 space_group="C2/m, No. 12" magnetic_moment_mub_per_fu=9.15 pbc="T T T"
Cr -5.710 8.484 1.621
Cr -2.604 5.157 3.208
K -3.584 7.533 5.249
Ag -1.195 2.511 1.750

=====

13.
3
Lattice="6.599 -0.895 0.411 5.803 3.267 0.412 0.605 0.116 3.160" Properties=species:S:1:pos:R:3 comment="KCrAg | Alexandria via LeMat-Bulk | PBE | optimized geometry" de_polymorph_mev_per_atom=43 delta_e_f_mev_per_atom=630 e_tot_ev_per_atom=-3.89 space_group="Cm, No. 8" magnetic_moment_mub_per_fu=4.76 pbc="T T T"
Cr 5.142 0.984 2.259
Ag 11.824 2.262 0.936
K 8.444 1.615 1.612

=====

14.
4
Lattice="-2.311 0.676 -4.148 0.100 -3.398 -3.384 -7.634 -4.361 0.833" Properties=species:S:1:pos:R:3 comment="K2CrAg | Alexandria via LeMat-Bulk | PBE | optimized geometry" de_polymorph_mev_per_atom=0 delta_e_f_mev_per_atom=502 e_tot_ev_per_atom=-3.17 space_group="Cm, No. 8" magnetic_moment_mub_per_fu=4.85 pbc="T T T"
Cr -3.325 -2.203 -1.257
K -2.904 -3.065 -7.179
K -6.692 -4.969 -5.376
Ag -4.057 -3.108 -3.768

=====

15.
4
Lattice="4.871 -0.071 0.042 3.960 2.839 0.042 0.653 0.204 7.220" Properties=species:S:1:pos:R:3 comment="KCrAg2 | Alexandria via LeMat-Bulk | PBE | optimized geometry" de_polymorph_mev_per_atom=77 delta_e_f_mev_per_atom=485 e_tot_ev_per_atom=-3.62 space_group="C2/m, No. 12" magnetic_moment_mub_per_fu=4.73 pbc="T T T"
Cr 7.113 2.229 5.478
Ag 0.723 0.227 6.631
Ag 4.671 1.464 4.241
K 2.371 0.743 1.826

=====

16.
4
Lattice="-3.400 -3.058 0.521 -0.737 -4.486 0.715 -0.316 0.418 7.399" Properties=species:S:1:pos:R:3 comment="KCr2Ag | Alexandria via LeMat-Bulk | PBE | optimized geometry" de_polymorph_mev_per_atom=124 delta_e_f_mev_per_atom=702 e_tot_ev_per_atom=-5.10 space_group="Cm, No. 8" magnetic_moment_mub_per_fu=0.04 pbc="T T T"
Cr -3.275 -5.112 7.299
Cr -0.317 0.377 7.119
Ag -1.166 -1.956 1.602
K -2.237 -3.581 4.330

=====

17.
4
Lattice="5.612 0.000 0.000 2.806 4.860 0.000 2.806 1.620 4.582" Properties=species:S:1:pos:R:3 comment="K2CrAg | Alexandria via LeMat-Bulk | PBE | optimized geometry" de_polymorph_mev_per_atom=136 delta_e_f_mev_per_atom=637 e_tot_ev_per_atom=-3.03 space_group="F-43m, No. 216" magnetic_moment_mub_per_fu=5.05 pbc="T T T"
Cr 8.418 4.860 3.437
K 0.000 0.000 0.000
K 2.806 1.620 1.146
Ag 5.612 3.240 2.291

=====

18.
8
Lattice="-0.322 4.309 -3.317 -4.815 1.318 2.179 1.841 8.157 5.945" Properties=species:S:1:pos:R:3 comment="KCr2Ag | Alexandria via LeMat-Bulk | PBE | optimized geometry" de_polymorph_mev_per_atom=589 delta_e_f_mev_per_atom=1166 e_tot_ev_per_atom=-4.63 space_group="I-42d, No. 122" magnetic_moment_mub_per_fu=9.81 pbc="T T T"
Ag 0.000 0.000 0.000
Ag -0.524 7.640 1.029
Cr -2.842 6.782 -0.169
Cr -0.412 5.825 -1.029
Cr 0.664 10.007 1.753
Cr 0.492 7.944 3.562
K -2.771 6.144 3.777
K -2.568 2.813 -0.569

=====

19.
8
Lattice="5.378 0.000 0.000 0.000 5.378 0.000 2.689 2.689 9.487" Properties=species:S:1:pos:R:3 comment="KCrAg2 | Alexandria via LeMat-Bulk | PBE | optimized geometry" de_polymorph_mev_per_atom=201 delta_e_f_mev_per_atom=608 e_tot_ev_per_atom=-3.50 space_group="I4_1/amd, No. 141" magnetic_moment_mub_per_fu=4.94 pbc="T T T"
Ag 5.379 4.033 2.372
Ag 6.722 2.688 7.115
Ag 5.377 1.344 2.372
Ag 4.033 2.690 7.115
Cr 0.000 0.000 0.000
Cr 5.378 2.689 4.743
K 2.689 5.378 4.743
K 2.689 2.689 0.000

=====

20.
4
Lattice="3.402 -0.005 0.000 0.005 3.402 0.000 0.000 0.000 8.153" Properties=species:S:1:pos:R:3 comment="KCrAg2 | Alexandria via LeMat-Bulk | PBE | optimized geometry" de_polymorph_mev_per_atom=0 delta_e_f_mev_per_atom=408 e_tot_ev_per_atom=-3.70 space_group="P4/mmm, No. 123" magnetic_moment_mub_per_fu=4.19 pbc="T T T"
Ag 0.000 0.000 0.544
Ag 0.000 0.000 3.533
K 1.704 1.699 6.115
Cr 1.704 1.699 2.038